[1]
This record from Alexandria via LeMat-Bulk describes a relaxed structure of YTh3Co. The functional is PBE-GGA.

Output
Mass density (g/cm3): 9.2
Calculated formation energy (eV/f.u.): 0.1
Total energy (eV per atom): -7.1439

Unit cell a=5.3467 b=5.3467 c=5.3467 alpha=90.00 beta=90.00 gamma=90.00
Last column: nearest neighbours and their distance in Å.
Space group Pm-3m (No. 221)
Asymmetric unit:
Y 0.0000 0.0000 0.0000 x1  12 Th 3.78
Th 0.0000 0.5000 0.5000 x3  2 Co 2.67
Co 0.5000 0.5000 0.5000 x1  6 Th 2.67

=====

[2]
This record from Alexandria via LeMat-Bulk describes a relaxed structure of YThCo2. The functional is PBE-GGA.

Output
Mass density (g/cm3): 9.0
E above lowest polymorph (meV/atom): 0
Calculated formation energy (eV/f.u.): -1.0
Total energy (eV per atom): -7.2751

Unit cell a=5.4091 b=5.4809 c=11.2148 alpha=90.00 beta=104.10 gamma=90.00
Last column: nearest neighbours and their distance in Å.
Space group P2/c (No. 13)
Asymmetric unit:
Y 0.1938 0.1249 0.1420 x4  7 Co 2.80-3.13
Th 0.3030 0.3745 0.8639 x4  5 Co 2.72-2.96
Co 0.1618 0.3752 0.5832 x4  2 Co 2.56-2.61, 2 Th 2.72-2.81, 2 Y 2.81
Co 0.3401 0.1261 0.4294 x4  2 Co 2.46-2.56

=====

[3]
This record from Alexandria via LeMat-Bulk describes a relaxed structure of Y2ThCo. The functional is PBE-GGA.

Output
Mass density (g/cm3): 6.9
E above lowest polymorph (meV/atom): 420
Calculated formation energy (eV/f.u.): 0.9
Total energy (eV per atom): -6.6412

Unit cell a=3.5314 b=3.5314 c=31.1687 alpha=90.00 beta=90.00 gamma=120.00
Last column: nearest neighbours and their distance in Å.
Space group R-3m (No. 166, hexagonal axes)
Asymmetric unit:
Y 0.0000 0.0000 0.1119 x6  3 Co 2.66
Th 0.0000 0.0000 0.0000 x3  2 Y 3.49, 6 Th 3.53
Co 0.0000 0.0000 0.5000 x3  6 Y 2.66

=====

[4]
This record from Alexandria via LeMat-Bulk describes a relaxed structure of YTh2Co6. The functional is PBE-GGA.

Output
Mass density (g/cm3): 9.4
Calculated formation energy (eV/f.u.): -1.9
Total energy (eV per atom): -7.3170

Unit cell a=6.8139 b=6.8139 c=3.9821 alpha=90.00 beta=90.00 gamma=120.00
Last column: nearest neighbours and their distance in Å.
Space group P6/mmm (No. 191)
Asymmetric unit:
Y 0.0000 0.0000 0.0000 x1  12 Co 3.02
Th 0.3333 0.6667 0.0000 x2  12 Co 3.02
Co 0.0000 0.3335 0.5000 x6  3 Co 2.27

=====

[5]
This record from Alexandria via LeMat-Bulk describes a relaxed structure of Y3ThCo8. The functional is PBE-GGA.

Output
Mass density (g/cm3): 8.6
Calculated formation energy (eV/f.u.): -2.1
Total energy (eV per atom): -7.1462

Unit cell a=5.0904 b=5.0904 c=25.0536 alpha=90.00 beta=90.00 gamma=120.00
Last column: nearest neighbours and their distance in Å.
Space group R3m (No. 160, hexagonal axes)
Asymmetric unit:
Y 0.0000 0.0000 0.0000 x3  12 Co 2.97-2.99, 4 Y 3.10
Y 0.0000 0.0000 0.1238 x3  12 Co 2.97-3.04, 1 Y 3.10, 3 Th 3.14
Y 0.0000 0.0000 0.6272 x3  12 Co 2.95-3.00, 3 Y 3.10, 1 Th 3.15
Th 0.0000 0.0000 0.5014 x3  12 Co 2.98-3.03, 4 Y 3.14-3.15
Co 0.0000 0.0000 0.3135 x3  6 Co 2.53-2.55
Co 0.0000 0.0000 0.8127 x3  6 Co 2.56-2.57
Co 0.9999 0.4999 0.5636 x9  6 Co 2.54-2.57
Co 0.1669 0.3339 0.3958 x9  6 Co 2.53-2.56

=====

[6]
This record from Alexandria via LeMat-Bulk describes a relaxed structure of YTh2Co9. The functional is PBE-GGA.

Output
Mass density (g/cm3): 10.1
Calculated formation energy (eV/f.u.): -2.0
Total energy (eV per atom): -7.2751

Unit cell a=4.9640 b=4.9640 c=25.1065 alpha=90.00 beta=90.00 gamma=120.00
Last column: nearest neighbours and their distance in Å.
Space group R-3m (No. 166, hexagonal axes)
Asymmetric unit:
Y 0.0000 0.0000 0.0000 x3  18 Co 2.87-3.18
Th 0.0000 0.0000 0.1370 x6  9 Co 2.88-2.96
Co 0.0000 0.0000 0.3328 x6  6 Co 2.44-2.45
Co 0.0000 0.0000 0.5000 x3  6 Co 2.62
Co 0.0023 0.5011 0.0789 x18  7 Co 2.44-2.62

=====

[7]
This record from Alexandria via LeMat-Bulk describes a relaxed structure of YTh4Co2. The functional is PBE-GGA.

Output
Mass density (g/cm3): 10.1
Calculated formation energy (eV/f.u.): -0.8
Total energy (eV per atom): -7.3150

Unit cell a=7.0642 b=6.7954 c=8.4096 alpha=90.00 beta=112.79 gamma=90.00
Last column: nearest neighbours and their distance in Å.
Space group P2_1/m (No. 11)
Asymmetric unit:
Y 0.0094 0.2500 0.2814 x2  1 Co 2.65
Th 0.2360 0.2500 0.7082 x2  1 Co 2.53
Th 0.2960 0.5015 0.0941 x4  4 Co 2.67-2.89
Th 0.3407 0.7500 0.5005 x2  2 Co 2.94-2.99
Co 0.0151 0.7500 0.1434 x2  3 Th 2.53-2.76
Co 0.3977 0.7500 0.8660 x2  1 Y 2.65, 5 Th 2.67-2.94

=====

[8]
This record from Alexandria via LeMat-Bulk describes a relaxed structure of Y12ThCo6. The functional is PBE-GGA.

Output
Mass density (g/cm3): 5.8
Calculated formation energy (eV/f.u.): -2.0
Total energy (eV per atom): -6.8242

Unit cell a=9.8126 b=9.8126 c=9.8126 alpha=90.00 beta=90.00 gamma=90.00
Last column: nearest neighbours and their distance in Å.
Space group Im-3 (No. 204)
Asymmetric unit:
Y 0.0000 0.3071 0.1928 x24  3 Co 2.69-2.89
Th 0.0000 0.0000 0.0000 x2  12 Y 3.56
Co 0.0000 0.1124 0.5000 x12  1 Co 2.21

=====

- Number 4 is which compound?
  YTh2Co6

=====

- Which of these has the highest total energy?
  Y2ThCo

=====

- Number 1 is which compound?
  YTh3Co